No. 1
Ce2OsAu: relaxed, GGA-PBE.

Computed properties:
spin magnetization	0.3	μB/f.u.
energy of formation	-34	kJ/mol of atoms
density	10.84	g/cm³
total DFT energy (no corrections)	-6.943	eV per atom

Cell: 4.0864 4.0864 7.4520 Å, 74.09 74.09 60.00°
Site moments in Bohr magnetons follow the coordinates.
Fractional positions:
Ce: 0.0708 0.0708 0.7877  0.11
Ce: 0.2625 0.2625 0.2126  0.19
Au: 0.5008 0.5008 0.4975  0.00
Os: 0.6659 0.6659 0.0022  -0.04


No. 2
Ce2OsAu: relaxed, GGA-PBE.

Computed properties:
spin magnetization	0.2	μB/f.u.
energy of formation	-36	kJ/mol of atoms
density	10.97	g/cm³
total DFT energy (no corrections)	-6.963	eV per atom

Cell: 4.0957 4.0957 7.3437 Å, 73.81 73.81 60.00°
Site moments in Bohr magnetons follow the coordinates.
Fractional positions:
Au: 0.5000 0.5000 0.5000  0.00
Ce: 0.2612 0.2612 0.2163  0.11
Ce: 0.7388 0.7388 0.7837  0.11
Os: 0.0000 0.0000 0.0000  -0.03


No. 3
Ce5OsAu: relaxed, GGA-PBE.

Computed properties:
spin magnetization	0.0	μB/f.u.
energy of formation	16	kJ/mol of atoms
density	10.54	g/cm³
total DFT energy (no corrections)	-6.143	eV per atom

Cell: 9.5566 6.5174 6.4050 Å, 120.58 138.25 90.00°
Fractional positions:
Os: 0.5162 0.0000 0.0000
Ce: 0.0041 0.5000 0.0000
Ce: 0.2404 0.2202 0.0000
Ce: 0.2404 0.7798 0.0000
Ce: 0.1627 0.2465 0.4930
Ce: 0.6696 0.7535 0.5070
Au: 0.6972 0.5000 0.0000


No. 4
CePrOsAu: relaxed, GGA-PBE.

Computed properties:
spin magnetization	0.6	μB/f.u.
energy of formation	-26	kJ/mol of atoms
density	11.84	g/cm³
total DFT energy (no corrections)	-6.572	eV per atom

Cell: 5.0981 5.0981 5.0981 Å, 60.00 60.00 60.00°
Site moments in Bohr magnetons follow the coordinates.
Fractional positions:
Pr: 0.5000 0.5000 0.5000  0.04
Ce: 0.0000 0.0000 0.0000  0.51
Os: 0.7500 0.7500 0.7500  -0.08
Au: 0.2500 0.2500 0.2500  0.01


No. 5
CePuOsAu: relaxed, GGA-PBE.

Computed properties:
spin magnetization	6.0	μB/f.u.
energy of formation	-20	kJ/mol of atoms
density	14.50	g/cm³
total DFT energy (no corrections)	-8.906	eV per atom

Cell: 4.9988 4.9988 4.9988 Å, 60.00 60.00 60.00°
Site moments in Bohr magnetons follow the coordinates.
Fractional positions:
Au: 0.0000 0.0000 0.0000  0.06
Os: 0.5000 0.5000 0.5000  -0.44
Pu: 0.2500 0.2500 0.2500  5.22
Ce: 0.7500 0.7500 0.7500  0.68


No. 6
CeScOsAu: relaxed, GGA-PBE.

Computed properties:
spin magnetization	0.3	μB/f.u.
energy of formation	-36	kJ/mol of atoms
density	11.55	g/cm³
total DFT energy (no corrections)	-7.064	eV per atom

Cell: 4.8816 4.8816 4.8816 Å, 60.00 60.00 60.00°
Site moments in Bohr magnetons follow the coordinates.
Fractional positions:
Sc: 0.0000 0.0000 0.0000  0.02
Os: 0.7500 0.7500 0.7500  -0.03
Au: 0.2500 0.2500 0.2500  0.01
Ce: 0.5000 0.5000 0.5000  0.26


No. 7
CeSmOsAu: relaxed, GGA-PBE.

Computed properties:
spin magnetization	0.5	μB/f.u.
energy of formation	-31	kJ/mol of atoms
density	12.36	g/cm³
total DFT energy (no corrections)	-6.613	eV per atom

Cell: 5.0501 5.0501 5.0501 Å, 60.00 60.00 60.00°
Site moments in Bohr magnetons follow the coordinates.
Fractional positions:
Au: 0.0000 0.0000 0.0000  0.01
Ce: 0.7500 0.7500 0.7500  0.43
Os: 0.5000 0.5000 0.5000  -0.06
Sm: 0.2500 0.2500 0.2500  0.03


No. 8
TbCeOsAu: relaxed, GGA-PBE.

Computed properties:
spin magnetization	0.4	μB/f.u.
energy of formation	-36	kJ/mol of atoms
density	12.80	g/cm³
total DFT energy (no corrections)	-6.638	eV per atom

Cell: 5.0118 5.0118 5.0118 Å, 60.00 60.00 60.00°
Site moments in Bohr magnetons follow the coordinates.
Fractional positions:
Ce: 0.2500 0.2500 0.2500  0.37
Os: 0.5000 0.5000 0.5000  -0.04
Tb: 0.7500 0.7500 0.7500  0.02
Au: 0.0000 0.0000 0.0000  0.01


No. 9
CeThOsAu: relaxed, GGA-PBE.

Computed properties:
spin magnetization	0.0	μB/f.u.
energy of formation	-41	kJ/mol of atoms
density	11.92	g/cm³
total DFT energy (no corrections)	-7.387	eV per atom
energy above the most stable polymorph in this dataset	0.000	eV per atom

Cell: 4.1354 4.1362 7.5319 Å, 90.00 105.93 120.00°
Fractional positions:
Th: 0.4941 0.1450 0.6546
Ce: 0.1105 0.9532 0.0788
Os: 0.3055 0.5506 0.8717
Au: 0.9677 0.3820 0.3646


No. 10
CeThOsAu: relaxed, GGA-PBE.

Computed properties:
spin magnetization	0.6	μB/f.u.
energy of formation	-32	kJ/mol of atoms
density	13.47	g/cm³
total DFT energy (no corrections)	-7.295	eV per atom
energy above the most stable polymorph in this dataset	0.093	eV per atom

Cell: 5.0966 5.0966 5.0966 Å, 60.00 60.00 60.00°
Site moments in Bohr magnetons follow the coordinates.
Fractional positions:
Os: 0.0000 0.0000 0.0000  -0.05
Th: 0.7500 0.7500 0.7500  0.06
Au: 0.5000 0.5000 0.5000  0.01
Ce: 0.2500 0.2500 0.2500  0.42


No. 11
Ce5Tl2Os2Au: relaxed, GGA-PBE.

Computed properties:
spin magnetization	2.1	μB/f.u.
energy of formation	-26	kJ/mol of atoms
density	10.79	g/cm³
total DFT energy (no corrections)	-6.284	eV per atom

Cell: 3.7321 11.7968 11.7968 Å, 90.00 90.00 90.00°
Site moments in Bohr magnetons follow the coordinates.
Fractional positions:
Tl: 0.0000 0.6780 0.1780  0.00
Tl: 0.0000 0.3220 0.8220  0.00
Tl: 0.0000 0.1780 0.3220  0.00
Tl: 0.0000 0.8220 0.6780  0.00
Au: 0.0000 0.5000 0.5000  0.01
Au: 0.0000 0.0000 0.0000  0.01
Ce: 0.5000 0.7052 0.4316  0.42
Ce: 0.5000 0.2948 0.5684  0.42
Ce: 0.5000 0.0684 0.7948  0.42
Ce: 0.5000 0.0000 0.5000  0.27
Ce: 0.5000 0.7948 0.9316  0.42
Ce: 0.5000 0.9316 0.2052  0.42
Ce: 0.5000 0.2052 0.0684  0.42
Ce: 0.5000 0.4316 0.2948  0.42
Ce: 0.5000 0.5684 0.7052  0.42
Ce: 0.5000 0.5000 0.0000  0.27
Os: 0.0000 0.1326 0.6326  -0.07
Os: 0.0000 0.6326 0.8674  -0.07
Os: 0.0000 0.8674 0.3674  -0.07
Os: 0.0000 0.3674 0.1326  -0.07


No. 12
Ce2P3Au: relaxed, GGA-PBE.

Computed properties:
spin magnetization	1.4	μB/f.u.
energy of formation	-100	kJ/mol of atoms
density	7.51	g/cm³
total DFT energy (no corrections)	-6.270	eV per atom

Cell: 4.1354 7.6620 15.9069 Å, 90.00 90.00 90.00°
Site moments in Bohr magnetons follow the coordinates.
Fractional positions:
Ce: 0.7500 0.3908 0.7024  0.66
Ce: 0.2500 0.1092 0.2024  0.66
Ce: 0.2500 0.7415 0.0302  0.60
Ce: 0.2500 0.6092 0.2976  0.66
Ce: 0.7500 0.2585 0.9698  0.60
Ce: 0.2500 0.2415 0.4698  0.60
Ce: 0.7500 0.7585 0.5302  0.60
Ce: 0.7500 0.8908 0.7976  0.66
Au: 0.2500 0.0195 0.6532  0.00
Au: 0.2500 0.5195 0.8468  0.00
Au: 0.7500 0.9805 0.3468  0.00
Au: 0.7500 0.4805 0.1532  0.00
P: 0.2500 0.7002 0.7010  -0.01
P: 0.2500 0.2002 0.7990  -0.01
P: 0.2500 0.0250 0.9086  -0.02
P: 0.2500 0.5250 0.5914  -0.02
P: 0.7500 0.9750 0.0914  -0.02
P: 0.7500 0.1175 0.5818  -0.02
P: 0.7500 0.2998 0.2990  -0.01
P: 0.7500 0.6175 0.9182  -0.02
P: 0.7500 0.4750 0.4086  -0.02
P: 0.7500 0.7998 0.2010  -0.01
P: 0.2500 0.8825 0.4182  -0.02
P: 0.2500 0.3825 0.0818  -0.02